(1)
Density functional theory data (PBE) for a relaxed CdW2 crystal.

CIF file:
```
data_CdW2
_chemical_formula_sum 'Cd1 W2'
_space_group_name_H-M_alt 'P 1'
_space_group_IT_number 1
_cell_length_a 7.279
_cell_length_b 7.279
_cell_length_c 7.279
_cell_angle_alpha 158.41
_cell_angle_beta 158.41
_cell_angle_gamma 30.72
loop_
_space_group_symop_operation_xyz
'x,y,z'
loop_
_atom_site_label
_atom_site_fract_x
_atom_site_fract_y
_atom_site_fract_z
Cd1 0.000 0.000 0.000
W1 0.331 0.331 0.000
W2 0.669 0.669 0.000
```

Computed properties:
The distance to the lowest polymorph of the same formula comes out at 44 kJ/mol of formula units. The energy of formation from the pure elements is 0.6319 eV per atom.



(2)
Density functional theory data (PBE) for a relaxed Lu2ThGa crystal.

CIF file:
```
data_Lu2ThGa
_chemical_formula_sum 'Lu2 Th1 Ga1'
_space_group_name_H-M_alt 'P 1'
_space_group_IT_number 1
_cell_length_a 4.722
_cell_length_b 4.722
_cell_length_c 4.692
_cell_angle_alpha 90.00
_cell_angle_beta 90.00
_cell_angle_gamma 90.00
loop_
_space_group_symop_operation_xyz
'x,y,z'
loop_
_atom_site_label
_atom_site_fract_x
_atom_site_fract_y
_atom_site_fract_z
Lu1 0.000 0.500 0.000
Lu2 0.500 0.000 0.000
Th1 0.000 0.000 0.500
Ga1 0.500 0.500 0.500
```

Computed properties:
The distance to the lowest polymorph of the same formula comes out at 39 kJ/mol of formula units. The energy of formation from the pure elements is -0.1808 eV per atom.



(3)
Density functional theory data (PBE) for a relaxed SiPW3 crystal.

CIF file:
```
data_SiPW3
_chemical_formula_sum 'Si1 P1 W3'
_space_group_name_H-M_alt 'P 1'
_space_group_IT_number 1
_cell_length_a 4.426
_cell_length_b 4.426
_cell_length_c 4.426
_cell_angle_alpha 90.00
_cell_angle_beta 90.00
_cell_angle_gamma 90.00
loop_
_space_group_symop_operation_xyz
'x,y,z'
loop_
_atom_site_label
_atom_site_fract_x
_atom_site_fract_y
_atom_site_fract_z
Si1 0.000 0.000 0.000
P1 0.500 0.500 0.500
W1 0.000 0.500 0.500
W2 0.500 0.000 0.500
W3 0.500 0.500 0.000
```

Computed properties:
The value obtained for the formation energy without anion corrections is 1063.1 meV per atom. The distance to the lowest polymorph of the same formula comes out at 0 kJ/mol of formula units.